DFT (PBE-GGA) results for crystalline LaNd3Sb3 at its relaxed geometry.

Properties
Calculated total energy: -38.4 eV per formula unit
Excess energy over the best structure of this formula in the dataset: 77.4 kJ/mol of formula units
Total moment: 0.00 μB/f.u.
Volume: 34.686 A^3/atom
Space group: R-3
D(E_F): 0.69 states/eV/atom
Formation energy without anion corrections: -966 meV/atom

Unit cell a=9.415 b=9.415 c=8.340 alpha=55.64 beta=55.64 gamma=60.00
Atoms (fractional coordinates):
Nd 0.816 0.093 0.737
Nd 0.184 0.907 0.263
Nd 0.907 0.645 0.263
Nd 0.645 0.184 0.263
Nd 0.093 0.355 0.737
Nd 0.355 0.816 0.737
Sb 0.459 0.074 0.762
Sb 0.705 0.459 0.762
Sb 0.295 0.541 0.238
Sb 0.541 0.926 0.238
Sb 0.926 0.295 0.238
Sb 0.074 0.705 0.762
La 0.334 0.334 0.999
La 0.666 0.666 0.001

DFT (PBE-GGA) results for crystalline La5NdSb4 at its relaxed geometry.

Properties
Calculated total energy: -54.6 eV per formula unit
Total moment: 0.00 μB/f.u.
Volume: 38.331 A^3/atom
Space group: C2/m
D(E_F): 0.93 states/eV/atom
Formation energy without anion corrections: -867 meV/atom

Unit cell a=4.489 b=8.986 c=10.069 alpha=104.17 beta=102.88 gamma=90.00
Atoms (fractional coordinates):
La 0.171 0.340 0.342
La 0.836 0.169 0.671
La 0.164 0.831 0.329
La 0.829 0.660 0.658
La 0.500 0.500 0.000
Nd 0.500 0.000 0.000
Sb 0.332 0.913 0.664
Sb 0.995 0.748 0.991
Sb 0.005 0.252 0.009
Sb 0.668 0.087 0.336

DFT (PBE-GGA) results for crystalline La2Nd2Sb5 at its relaxed geometry.

Properties
Calculated total energy: -48.8 eV per formula unit
Total moment: 0.00 μB/f.u.
Volume: 32.285 A^3/atom
Space group: Cmce
D(E_F): 0.81 states/eV/atom
Formation energy without anion corrections: -982 meV/atom

Unit cell a=8.413 b=9.298 c=9.298 alpha=126.97 beta=90.00 gamma=90.00
Atoms (fractional coordinates):
Sb 0.866 0.495 0.769
Sb 0.366 0.005 0.731
Sb 0.134 0.231 0.505
Sb 0.366 0.731 0.005
Sb 0.134 0.505 0.231
Sb 0.634 0.995 0.269
Sb 0.634 0.269 0.995
Sb 0.866 0.769 0.495
Sb 0.000 0.000 0.000
Sb 0.500 0.500 0.500
La 0.500 0.311 0.689
La 0.000 0.189 0.811
La 0.500 0.689 0.311
La 0.000 0.811 0.189
Nd 0.836 0.339 0.339
Nd 0.664 0.839 0.839
Nd 0.164 0.661 0.661
Nd 0.336 0.161 0.161

DFT (PBE-GGA) results for crystalline La5Nd3Sb8 at its relaxed geometry.

Properties
Calculated total energy: -91.8 eV per formula unit
Total moment: 0.00 μB/f.u.
Volume: 34.167 A^3/atom
Space group: R-3m
D(E_F): 0.18 states/eV/atom
Formation energy without anion corrections: -1243 meV/atom

Unit cell a=9.178 b=9.178 c=9.178 alpha=60.00 beta=60.00 gamma=60.00
Atoms (fractional coordinates):
Nd 0.000 0.500 0.500
Nd 0.500 0.000 0.500
Nd 0.000 0.000 0.500
La 0.500 0.500 0.000
La 0.500 0.000 0.000
La 0.000 0.000 0.000
La 0.500 0.500 0.500
La 0.000 0.500 0.000
Sb 0.750 0.247 0.253
Sb 0.250 0.753 0.747
Sb 0.750 0.750 0.253
Sb 0.753 0.250 0.747
Sb 0.250 0.250 0.747
Sb 0.247 0.750 0.253
Sb 0.249 0.249 0.254
Sb 0.751 0.751 0.746

DFT (PBE-GGA) results for crystalline LaNd3Sb at its relaxed geometry.

Properties
Calculated total energy: -25.4 eV per formula unit
Total moment: 0.01 μB/f.u.
Volume: 34.235 A^3/atom
Space group: Pnma
D(E_F): 1.43 states/eV/atom
Formation energy without anion corrections: -404 meV/atom

Unit cell a=4.098 b=11.158 c=14.975 alpha=90.00 beta=90.00 gamma=90.00
Atoms (fractional coordinates):
Sb 0.250 0.659 0.875
Sb 0.750 0.841 0.375
Sb 0.250 0.159 0.625
Sb 0.750 0.341 0.125
Nd 0.750 0.686 0.710
Nd 0.750 0.441 0.917
Nd 0.250 0.431 0.707
Nd 0.250 0.814 0.210
Nd 0.250 0.314 0.290
Nd 0.750 0.569 0.293
Nd 0.250 0.059 0.417
Nd 0.250 0.559 0.083
Nd 0.750 0.941 0.583
Nd 0.750 0.069 0.207
Nd 0.250 0.931 0.793
Nd 0.750 0.186 0.790
La 0.250 0.168 0.005
La 0.250 0.668 0.495
La 0.750 0.832 0.995
La 0.750 0.332 0.505

DFT (PBE-GGA) results for crystalline La5Nd5Sb6 at its relaxed geometry.

Properties
Calculated total energy: -89.0 eV per formula unit
Total moment: 1.59 μB/f.u.
Volume: 31.890 A^3/atom
Space group: Amm2
D(E_F): 1.18 states/eV/atom
Formation energy without anion corrections: -987 meV/atom

Unit cell a=6.578 b=9.471 c=9.471 alpha=120.15 beta=90.00 gamma=90.00
Atoms (fractional coordinates):
Sb 0.500 0.618 0.000
Sb 0.000 0.383 0.998
Sb 0.000 0.998 0.383
Sb 0.000 0.620 0.620
Sb 0.500 0.382 0.382
Sb 0.500 0.000 0.618
La 0.250 0.334 0.666
La 0.750 0.666 0.334
La 0.000 0.250 0.250
La 0.750 0.334 0.666
La 0.250 0.666 0.334
Nd 0.500 0.750 0.750
Nd 0.000 0.000 0.747
Nd 0.500 0.253 0.999
Nd 0.000 0.747 0.000
Nd 0.500 0.999 0.253

DFT (PBE-GGA) results for crystalline LaNd3Sb3 at its relaxed geometry.

Properties
Calculated total energy: -39.2 eV per formula unit
Excess energy over the best structure of this formula in the dataset: 0.0 kJ/mol of formula units
Total moment: 0.00 μB/f.u.
Volume: 31.280 A^3/atom
Space group: P2_13
D(E_F): 1.07 states/eV/atom
Formation energy without anion corrections: -1081 meV/atom

Unit cell a=9.568 b=9.568 c=9.568 alpha=90.00 beta=90.00 gamma=90.00
Atoms (fractional coordinates):
Nd 0.180 0.180 0.180
Nd 0.572 0.072 0.428
Nd 0.320 0.180 0.820
Nd 0.320 0.820 0.680
Nd 0.820 0.680 0.320
Nd 0.680 0.680 0.680
Nd 0.428 0.572 0.072
Nd 0.180 0.820 0.320
Nd 0.928 0.928 0.928
Nd 0.072 0.428 0.572
Nd 0.680 0.320 0.820
Nd 0.820 0.320 0.180
Sb 0.122 0.500 0.253
Sb 0.253 0.122 0.500
Sb 0.247 0.878 0.000
Sb 0.500 0.253 0.122
Sb 0.378 0.500 0.753
Sb 0.000 0.247 0.878
Sb 0.000 0.747 0.622
Sb 0.878 0.000 0.247
Sb 0.622 0.000 0.747
Sb 0.753 0.378 0.500
Sb 0.747 0.622 0.000
Sb 0.500 0.753 0.378
La 0.570 0.930 0.070
La 0.930 0.070 0.570
La 0.430 0.430 0.430
La 0.070 0.570 0.930

DFT (PBE-GGA) results for crystalline LaNd3Sb4 at its relaxed geometry.

Properties
Calculated total energy: -45.4 eV per formula unit
Total moment: 0.00 μB/f.u.
Volume: 33.335 A^3/atom
Space group: Cmmm
D(E_F): 0.11 states/eV/atom
Formation energy without anion corrections: -1210 meV/atom

Unit cell a=4.554 b=7.881 c=7.881 alpha=109.47 beta=90.00 gamma=90.00
Atoms (fractional coordinates):
Nd 0.000 0.000 0.500
Nd 0.000 0.500 0.000
Nd 0.500 0.500 0.500
La 0.500 0.000 0.000
Sb 0.500 0.251 0.749
Sb 0.000 0.747 0.747
Sb 0.000 0.253 0.253
Sb 0.500 0.749 0.251

DFT (PBE-GGA) results for crystalline LaNd3Sb4 at its relaxed geometry.

Properties
Calculated total energy: -45.4 eV per formula unit
Total moment: 0.00 μB/f.u.
Volume: 33.283 A^3/atom
Space group: Pm-3m
D(E_F): 0.10 states/eV/atom
Formation energy without anion corrections: -1212 meV/atom

Unit cell a=6.433 b=6.433 c=6.433 alpha=90.00 beta=90.00 gamma=90.00
Atoms (fractional coordinates):
Nd 0.500 0.000 0.500
Nd 0.000 0.500 0.500
Nd 0.500 0.500 0.000
Sb 0.500 0.000 0.000
Sb 0.000 0.000 0.500
Sb 0.000 0.500 0.000
Sb 0.500 0.500 0.500
La 0.000 0.000 0.000

DFT (PBE-GGA) results for crystalline LaNd4Sb2 at its relaxed geometry.

Properties
Calculated total energy: -31.6 eV per formula unit
Total moment: 0.00 μB/f.u.
Volume: 35.077 A^3/atom
Space group: I4/mmm
D(E_F): 1.06 states/eV/atom
Formation energy without anion corrections: 91 meV/atom

Unit cell a=5.418 b=5.418 c=9.200 alpha=107.12 beta=107.12 gamma=90.00
Atoms (fractional coordinates):
Nd 0.000 0.500 0.000
Nd 0.500 0.000 0.000
Nd 0.182 0.182 0.364
Nd 0.818 0.818 0.636
La 0.000 0.000 0.000
Sb 0.367 0.367 0.734
Sb 0.633 0.633 0.266

DFT (PBE-GGA) results for crystalline LaNd5Sb6 at its relaxed geometry.

Properties
Calculated total energy: -67.9 eV per formula unit
Total moment: 0.00 μB/f.u.
Volume: 33.150 A^3/atom
Space group: C2/m
D(E_F): 0.14 states/eV/atom
Formation energy without anion corrections: -1203 meV/atom

Unit cell a=7.869 b=7.869 c=7.869 alpha=60.00 beta=80.40 gamma=70.51
Atoms (fractional coordinates):
Sb 0.749 0.748 0.000
Sb 0.251 0.252 0.000
Sb 0.252 0.916 0.664
Sb 0.748 0.420 0.664
Sb 0.748 0.084 0.336
Sb 0.252 0.580 0.336
Nd 0.500 0.500 0.000
Nd 0.000 0.667 0.666
Nd 0.500 0.166 0.668
Nd 0.000 0.333 0.334
Nd 0.500 0.834 0.332
La 0.000 0.000 0.000

DFT (PBE-GGA) results for crystalline La3Nd5Sb8 at its relaxed geometry.

Properties
Calculated total energy: -91.1 eV per formula unit
Total moment: 0.00 μB/f.u.
Volume: 33.601 A^3/atom
Space group: R-3m
D(E_F): 0.15 states/eV/atom
Formation energy without anion corrections: -1221 meV/atom

Unit cell a=9.127 b=9.127 c=9.127 alpha=60.00 beta=60.00 gamma=60.00
Atoms (fractional coordinates):
Sb 0.749 0.749 0.754
Sb 0.253 0.750 0.247
Sb 0.251 0.251 0.246
Sb 0.250 0.250 0.753
Sb 0.750 0.253 0.247
Sb 0.750 0.750 0.247
Sb 0.747 0.250 0.753
Sb 0.250 0.747 0.753
Nd 0.500 0.500 0.000
Nd 0.500 0.000 0.000
Nd 0.000 0.000 0.000
Nd 0.000 0.500 0.000
Nd 0.500 0.500 0.500
La 0.000 0.500 0.500
La 0.500 0.000 0.500
La 0.000 0.000 0.500